Record 1
LaTa | GGA-PBE | relaxed

Output
As for the formation energy from the elements: 84.3 kJ/mol of formula units. The calculation puts the total moment at 0.000 μB/cell. The calculation puts the calculated total energy at -7.953 eV per atom. Its offset from the most stable computed form is 30 kJ/mol of formula units.

```
data_LaTa
_cell_length_a 4.7602
_cell_length_b 4.7602
_cell_length_c 11.3465
_cell_angle_alpha 90.00
_cell_angle_beta 90.00
_cell_angle_gamma 120.00
_symmetry_space_group_name_H-M 'P 63/m m c'
_symmetry_Int_Tables_number 194
_symmetry_space_group_name_Hall '-P 6c 2c'
loop_
_atom_site_label
_atom_site_fract_x
_atom_site_fract_y
_atom_site_fract_z
La1 0.3333 0.6667 0.0877
Ta1 0.0000 0.0000 0.2500
Ta2 0.3333 0.6667 0.7500
```

Record 2
BeReSeO2 | GGA-PBE | relaxed

Output
The calculation puts the total moment at 2.070 μB/cell. The uncorrected formation energy is 1.0 eV/f.u. The calculation puts the calculated total energy at -5.706 eV per atom.

```
data_BeReSeO2
_cell_length_a 3.541
_cell_length_b 3.541
_cell_length_c 4.834
_cell_angle_alpha 90.00
_cell_angle_beta 90.00
_cell_angle_gamma 90.00
_symmetry_space_group_name_H-M 'P 4/m m m'
_symmetry_Int_Tables_number 123
_symmetry_space_group_name_Hall '-P 4 2'
loop_
_atom_site_label
_atom_site_fract_x
_atom_site_fract_y
_atom_site_fract_z
Be1 0.000 0.000 0.000
Re1 0.500 0.500 0.500
Se1 0.000 0.000 0.500
O1 0.000 0.500 0.000
```

Record 3
Cs3AlTl4 | GGA-PBE | relaxed

Output
As for the formation energy from the elements: 1.9 kJ/mol of formula units. The calculation puts the total moment at 0.000 μB/cell. The calculation puts the calculated total energy at -1.969 eV per atom. Its offset from the most stable computed form is 0 kJ/mol of formula units.

```
data_Cs3AlTl4
_cell_length_a 7.177
_cell_length_b 7.954
_cell_length_c 7.968
_cell_angle_alpha 60.58
_cell_angle_beta 63.24
_cell_angle_gamma 63.28
_symmetry_space_group_name_H-M 'P 1'
_symmetry_Int_Tables_number 1
loop_
_symmetry_equiv_pos_as_xyz
'x,y,z'
loop_
_atom_site_label
_atom_site_fract_x
_atom_site_fract_y
_atom_site_fract_z
Cs1 0.000 0.000 0.000
Cs2 0.001 0.507 0.492
Cs3 0.652 0.102 0.594
Al1 0.541 0.713 0.205
Tl1 0.339 0.130 0.190
Tl2 0.340 0.700 0.621
Tl3 0.511 0.509 0.999
Tl4 0.981 0.509 0.000
```

Record 4
PmZnB | GGA-PBE | relaxed

Output
As for the formation energy from the elements: -32.4 kJ/mol of formula units. The calculation puts the total moment at 0.000 μB/cell. The calculation puts the calculated total energy at -4.346 eV per atom.

```
data_PmZnB
_cell_length_a 3.283
_cell_length_b 4.257
_cell_length_c 7.841
_cell_angle_alpha 99.28
_cell_angle_beta 90.08
_cell_angle_gamma 90.08
_symmetry_space_group_name_H-M 'P -1'
_symmetry_Int_Tables_number 2
loop_
_symmetry_equiv_pos_as_xyz
'x,y,z'
'-x,-y,-z'
loop_
_atom_site_label
_atom_site_fract_x
_atom_site_fract_y
_atom_site_fract_z
Pm1 0.248 0.305 0.184
Zn1 0.251 0.130 0.630
B1 0.250 0.585 0.527
```

Record 5
Sm2PaRu2 | GGA-PBE | relaxed

Output
As for the formation energy from the elements: -182.7 kJ/mol of formula units. The calculation puts the total moment at 0.000 μB/cell. The calculation puts the calculated total energy at -7.876 eV per atom. Its offset from the most stable computed form is 28 kJ/mol of formula units.

```
data_Sm2PaRu2
_cell_length_a 10.401
_cell_length_b 6.719
_cell_length_c 7.105
_cell_angle_alpha 90.00
_cell_angle_beta 98.83
_cell_angle_gamma 90.00
_symmetry_space_group_name_H-M 'P 1 21/c 1'
_symmetry_Int_Tables_number 14
loop_
_symmetry_equiv_pos_as_xyz
'x,y,z'
'-x,-y,-z'
'-x,y+1/2,-z+1/2'
'x,-y+1/2,z+1/2'
loop_
_atom_site_label
_atom_site_fract_x
_atom_site_fract_y
_atom_site_fract_z
Sm1 0.023 0.245 0.435
Sm2 0.279 0.651 0.873
Pa1 0.369 0.172 0.001
Ru1 0.205 0.056 0.729
Ru2 0.486 0.563 0.220
```

Record 6
NaNb2ZnRh | GGA-PBE | relaxed

Output
As for the formation energy from the elements: 896.6 kJ/mol of formula units. The calculation puts the total moment at 0.000 μB/cell. The calculation puts the calculated total energy at -4.158 eV per atom.

```
data_NaNb2ZnRh
_cell_length_a 4.678
_cell_length_b 4.678
_cell_length_c 4.321
_cell_angle_alpha 90.00
_cell_angle_beta 90.00
_cell_angle_gamma 90.00
_symmetry_space_group_name_H-M 'P 4/m m m'
_symmetry_Int_Tables_number 123
_symmetry_space_group_name_Hall '-P 4 2'
loop_
_atom_site_label
_atom_site_fract_x
_atom_site_fract_y
_atom_site_fract_z
Na1 0.000 0.000 0.000
Nb1 0.000 0.500 0.000
Zn1 0.000 0.000 0.500
Rh1 0.500 0.500 0.500
```